1.
DFT (PBE-GGA) results for a relaxed SrMgAg2 crystal.

Structure (extended XYZ):
```
4
Lattice="4.118 -2.382 0.000 4.118 2.382 0.000 -2.776 0.000 5.556" Properties=species:S:1:pos:R:3 pbc="T T T"
Sr 0.000 0.000 0.000
Mg -0.027 0.000 3.313
Ag 2.721 0.000 3.027
Ag 5.470 0.000 2.211
```

## Properties
- VASP energy (eV per atom) = -2.414

=====

2.
DFT (PBE-GGA) results for a relaxed SrMgAg crystal.

Structure (extended XYZ):
```
3
Lattice="-1.844 1.844 6.075 1.844 -1.844 6.075 1.844 1.844 -6.075" Properties=species:S:1:pos:R:3 pbc="T T T"
Sr 0.000 0.000 0.000
Mg 0.000 0.000 8.658
Ag 0.000 0.000 3.848
```

## Properties
- VASP energy (eV per atom) = -2.203

=====

3.
DFT (PBE-GGA) results for a relaxed SrMgAg crystal.

Structure (extended XYZ):
```
3
Lattice="0.000 3.637 3.637 3.637 0.000 3.637 3.637 3.637 0.000" Properties=species:S:1:pos:R:3 pbc="T T T"
Sr 0.000 0.000 0.000
Mg 3.637 3.637 3.637
Ag 1.819 1.819 1.819
```

## Properties
- VASP energy (eV per atom) = -2.139

=====

4.
DFT (PBE-GGA) results for a relaxed Sr2Mg2Ag crystal.

Structure (extended XYZ):
```
5
Lattice="-2.070 2.070 9.930 2.070 -2.070 9.930 2.070 2.070 -9.930" Properties=species:S:1:pos:R:3 pbc="T T T"
Sr 0.000 0.000 1.899
Sr 0.000 0.000 17.961
Mg 2.070 0.000 4.965
Mg 0.000 2.070 4.965
Ag 0.000 0.000 9.930
```

## Properties
- VASP energy (eV per atom) = -1.877